--- w ---
Entry from the Alexandria database: a geometry-optimized SmYHo2 structure (PBE).

Cell and atoms, written as POSCAR:
```
SmYHo2
1.0
3.4899 0.0204 1.0387
0.8324 5.7170 3.4656
-0.1062 0.4226 6.7230
Sm Y Ho
1 1 2
direct
0.2500 0.1672 0.3328
0.7500 0.6659 0.8341
0.0001 0.0830 0.9162
0.4999 0.5838 0.4170
```

- magnetization (μB per formula unit) = 0.00
- space-group type = Imm2 (44)


--- x ---
Entry from the Alexandria database: a geometry-optimized SmYHo2 structure (PBE).

Cell and atoms, written as POSCAR:
```
SmYHo2
1.0
-0.9011 -4.8572 2.8125
-1.2036 -4.7611 -2.8632
3.8259 -4.1954 -0.2749
Y Ho Sm
1 2 1
direct
0.5000 0.5000 0.5000
0.2500 0.2500 0.2500
0.7500 0.7500 0.7500
0.0000 0.0000 0.0000
```

- magnetization (μB per formula unit) = 0.00
- space-group type = Fm-3m (225)


--- y ---
Entry from the Alexandria database: a geometry-optimized SmYHo2 structure (PBE).

Cell and atoms, written as POSCAR:
```
SmYHo2
1.0
-0.6752 -3.4850 0.3198
1.9412 -1.9944 2.2265
-7.0913 0.4146 9.4068
Y Ho Sm
1 2 1
direct
0.5000 0.5000 0.5000
0.7504 0.7504 0.7487
0.2496 0.2496 0.2513
0.0000 0.0000 0.0000
```

- magnetization (μB per formula unit) = 0.00
- space-group type = R-3m (166)


Going by the computed energies, the most stable comes first: w, y, x.


--- w ---
Entry from the Alexandria database: a geometry-optimized SmY6Ho3 structure (PBE).

Cell and atoms, written as POSCAR:
```
SmY6Ho3
1.0
-0.2106 -6.2482 0.0782
6.6890 -0.3339 -8.6644
4.2094 -0.0154 10.1097
Sm Y Ho
2 12 6
direct
0.1551 0.2058 0.7942
0.6551 0.7942 0.2058
0.0355 0.7095 0.6192
0.5355 0.6192 0.7095
0.3615 0.5386 0.9561
0.8615 0.9561 0.5386
0.4051 0.9527 0.0473
0.6518 0.2813 0.7187
0.1518 0.7187 0.2813
0.9051 0.0473 0.9527
0.3615 0.0439 0.4614
0.8615 0.4614 0.0439
0.0355 0.3808 0.2905
0.5355 0.2905 0.3808
0.4532 0.9368 0.7176
0.9532 0.7176 0.9368
0.0731 0.3892 0.6108
0.5731 0.6108 0.3892
0.9532 0.0632 0.2824
0.4532 0.2824 0.0632
```

- magnetization (μB per formula unit) = 0.00
- space-group type = Cmc2_1 (36)


--- x ---
Entry from the Alexandria database: a geometry-optimized SmY6Ho3 structure (PBE).

Cell and atoms, written as POSCAR:
```
SmY6Ho3
1.0
6.4003 0.0000 0.0000
0.0000 10.0429 -5.6863
0.0000 -2.2085 11.3277
Sm Y Ho
2 12 6
direct
0.0127 0.1618 0.8382
0.5127 0.8382 0.1618
0.0715 0.7397 0.6212
0.5715 0.6212 0.7397
0.3285 0.4579 0.8949
0.8285 0.8949 0.4579
0.3152 0.9848 0.0152
0.7880 0.3013 0.6987
0.2880 0.6987 0.3013
0.8152 0.0152 0.9848
0.3285 0.1051 0.5421
0.8285 0.5421 0.1051
0.0715 0.3788 0.2603
0.5715 0.2603 0.3788
0.4864 0.9580 0.7042
0.9864 0.7042 0.9580
0.0966 0.4184 0.5816
0.5966 0.5816 0.4184
0.9864 0.0420 0.2958
0.4864 0.2958 0.0420
```

- magnetization (μB per formula unit) = 0.00
- space-group type = Cmc2_1 (36)


Going by the computed energies, the most stable comes first: x, w.


--- w ---
Entry from the Alexandria database: a geometry-optimized Sm2Y2Ho7 structure (PBE).

Cell and atoms, written as POSCAR:
```
Sm2Y2Ho7
1.0
3.4822 0.9852 -0.0896
0.6219 11.3358 2.7542
2.6414 4.8826 10.2789
Sm Y Ho
2 2 7
direct
0.5000 0.2730 0.7270
0.5000 0.7270 0.2730
0.0516 0.7240 0.7240
0.9484 0.2760 0.2760
0.3243 0.6375 0.0391
0.6757 0.9609 0.3625
0.6757 0.3625 0.9609
0.3243 0.0391 0.6375
0.0000 0.0000 0.0000
0.8311 0.5846 0.5846
0.1689 0.4154 0.4154
```

- magnetization (μB per formula unit) = 0.00
- space-group type = Cmmm (65)


--- x ---
Entry from the Alexandria database: a geometry-optimized Sm2Y2Ho7 structure (PBE).

Cell and atoms, written as POSCAR:
```
Sm2Y2Ho7
1.0
5.4047 1.5413 2.2242
1.0695 8.2878 1.9424
1.0695 -1.0917 8.4421
Sm Y Ho
2 2 7
direct
0.1213 0.2336 0.2336
0.8787 0.7664 0.7664
0.5000 0.2162 0.7838
0.5000 0.7838 0.2162
0.1746 0.0606 0.5908
0.8254 0.4092 0.9394
0.8254 0.9394 0.4092
0.1746 0.5908 0.0606
0.0000 0.0000 0.0000
0.6264 0.5883 0.5883
0.3736 0.4117 0.4117
```

- magnetization (μB per formula unit) = 0.00
- space-group type = C2/m (12)


Going by the computed energies, the most stable comes first: w, x.


--- w ---
Entry from the Alexandria database: a geometry-optimized SmY2Ho structure (PBE).

Cell and atoms, written as POSCAR:
```
SmY2Ho
1.0
-5.2542 -2.0674 -0.7857
-1.0663 -3.4830 -4.3852
-1.0601 -5.5221 0.9384
Y Ho Sm
2 1 1
direct
0.2500 0.2500 0.2500
0.7500 0.7500 0.7500
0.5000 0.5000 0.5000
0.0000 0.0000 0.0000
```

- magnetization (μB per formula unit) = 0.00
- space-group type = Fm-3m (225)


--- x ---
Entry from the Alexandria database: a geometry-optimized SmY2Ho structure (PBE).

Cell and atoms, written as POSCAR:
```
SmY2Ho
1.0
-2.8874 0.5088 2.0406
0.7586 -2.9807 1.8166
5.5579 5.3885 6.5206
Y Ho Sm
2 1 1
direct
0.0000 0.0000 0.7531
0.0000 0.0000 0.2469
0.5000 0.5000 0.0000
0.5000 0.5000 0.5000
```

- magnetization (μB per formula unit) = 0.00
- space-group type = P4/mmm (123)


Going by the computed energies, the most stable comes first: x, w.


--- w ---
Entry from the Alexandria database: a geometry-optimized SmY2Ho structure (PBE).

Cell and atoms, written as POSCAR:
```
SmY2Ho
1.0
-1.7625 2.5683 -1.8038
-3.3812 -0.5678 -1.0960
-5.6642 4.9541 8.9971
Sm Y Ho
1 2 1
direct
0.5005 0.5005 0.4986
0.0823 0.0823 0.7530
0.2508 0.2508 0.2476
0.6664 0.6664 0.0008
```

- magnetization (μB per formula unit) = 0.00
- space-group type = R3m (160)


--- x ---
Entry from the Alexandria database: a geometry-optimized SmY2Ho structure (PBE).

Cell and atoms, written as POSCAR:
```
SmY2Ho
1.0
-2.2207 -1.9533 2.0097
-2.1509 -2.4081 -1.5363
6.7843 -9.5839 1.3631
Y Ho Sm
2 1 1
direct
0.7491 0.7491 0.7526
0.2509 0.2509 0.2474
0.0000 0.0000 0.0000
0.5000 0.5000 0.5000
```

- magnetization (μB per formula unit) = 0.00
- space-group type = R-3m (166)


Going by the computed energies, the most stable comes first: w, x.


--- w ---
Entry from the Alexandria database: a geometry-optimized Sm8YHo2 structure (PBE).

Cell and atoms, written as POSCAR:
```
Sm8YHo2
1.0
6.2900 1.7985 1.3647
2.1371 9.6264 3.0690
2.1371 5.5477 8.4445
Sm Y Ho
8 1 2
direct
0.2300 0.3505 0.8262
0.7700 0.1738 0.6495
0.1724 0.7557 0.7557
0.8276 0.2443 0.2443
0.2300 0.8262 0.3505
0.7700 0.6495 0.1738
0.7269 0.5918 0.5918
0.2731 0.4082 0.4082
0.0000 0.0000 0.0000
0.5950 0.8000 0.8000
0.4050 0.2000 0.2000
```

- magnetization (μB per formula unit) = 0.00
- space-group type = C2/m (12)


--- x ---
Entry from the Alexandria database: a geometry-optimized Sm8YHo2 structure (PBE).

Cell and atoms, written as POSCAR:
```
Sm8YHo2
1.0
-3.1288 -0.2019 8.7369
-0.3616 -6.2574 7.9280
3.5378 -0.1274 9.4661
Sm Y Ho
8 1 2
direct
0.1388 0.3510 0.7877
0.8612 0.2123 0.6490
0.2748 0.6749 0.6749
0.7252 0.3251 0.3251
0.1388 0.7877 0.3510
0.8612 0.6490 0.2123
0.6244 0.6873 0.6873
0.3756 0.3127 0.3127
0.0000 0.0000 0.0000
0.6594 0.8576 0.8576
0.3406 0.1424 0.1424
```

- magnetization (μB per formula unit) = 0.00
- space-group type = C2/m (12)


Going by the computed energies, the most stable comes first: x, w.


--- w ---
Entry from the Alexandria database: a geometry-optimized SmY5Ho2 structure (PBE).

Cell and atoms, written as POSCAR:
```
SmY5Ho2
1.0
-2.0076 5.8386 2.6896
-4.7283 -12.7313 -2.6079
4.2268 -5.9753 6.2694
Sm Y Ho
2 10 4
direct
0.9556 0.7076 0.7928
0.0444 0.2924 0.2072
0.2086 0.9585 0.0424
0.3339 0.0829 0.6654
0.2924 0.5421 0.4601
0.4189 0.6672 0.0855
0.4603 0.2084 0.2905
0.5397 0.7916 0.7095
0.7076 0.4579 0.5399
0.5811 0.3328 0.9145
0.7914 0.0415 0.9576
0.6661 0.9171 0.3346
0.0838 0.8336 0.4178
0.8345 0.5838 0.1673
0.9162 0.1664 0.5822
0.1655 0.4162 0.8327
```

- magnetization (μB per formula unit) = 0.00
- space-group type = P-1 (2)


--- x ---
Entry from the Alexandria database: a geometry-optimized SmY5Ho2 structure (PBE).

Cell and atoms, written as POSCAR:
```
SmY5Ho2
1.0
-2.1472 -4.3722 -1.2610
4.5469 -0.6577 -5.4617
9.1633 -6.9413 8.4643
Sm Y Ho
2 10 4
direct
0.0000 0.0000 0.5000
0.0000 0.5000 0.0000
0.0000 0.0000 0.0000
0.0000 0.5000 0.5000
0.0000 0.4991 0.7499
0.0000 0.5009 0.2501
0.0000 0.0009 0.2499
0.0000 0.9991 0.7501
0.5000 0.2496 0.8748
0.5000 0.7504 0.1252
0.5000 0.2504 0.3748
0.5000 0.7496 0.6252
0.5000 0.2492 0.6250
0.5000 0.7508 0.3750
0.5000 0.2508 0.1250
0.5000 0.7492 0.8750
```

- magnetization (μB per formula unit) = 0.00
- space-group type = Pbam (55)


Going by the computed energies, the most stable comes first: w, x.


--- w ---
Entry from the Alexandria database: a geometry-optimized SmYHoZn structure (PBE).

Cell and atoms, written as POSCAR:
```
SmYHoZn
1.0
-4.1026 1.4210 -3.1564
0.0190 -1.3478 -5.1958
-3.4052 -3.7301 -1.8176
Y Zn Ho Sm
1 1 1 1
direct
0.7500 0.7500 0.7500
0.0000 0.0000 0.0000
0.5000 0.5000 0.5000
0.2500 0.2500 0.2500
```

- magnetization (μB per formula unit) = 0.00
- space-group type = F-43m (216)


--- x ---
Entry from the Alexandria database: a geometry-optimized SmYHoZn structure (PBE).

Cell and atoms, written as POSCAR:
```
SmYHoZn
1.0
-0.1800 0.2789 3.5623
2.1273 -2.8574 0.3312
6.9755 5.1871 -0.0536
Sm Y Ho Zn
1 1 1 1
direct
0.0000 0.0000 0.0741
0.5000 0.5000 0.7745
0.5000 0.5000 0.3676
0.0000 0.0000 0.5685
```

- magnetization (μB per formula unit) = 0.00
- space-group type = P4mm (99)


Going by the computed energies, the most stable comes first: x, w.